(1)
A plane-wave DFT calculation with PBEsol was carried out for a geometry-optimized Fe2Co structure.

a b c (Å): 2.7806 2.7806 8.4254
angles (deg): 90.00 90.00 90.00
Element x y z (fractional)
1 Fe 0.2500 0.2500 0.0819
2 Fe 0.2500 0.2500 0.7478
3 Fe 0.7500 0.7500 0.2522
4 Fe 0.7500 0.7500 0.9181
5 Co 0.2500 0.2500 0.4139
6 Co 0.7500 0.7500 0.5861

Calculated values
**Calculated density**: 8.70 g/cm3
**M_tot**: 13.0 μB per cell
**Calculated formation energy**: 0.7 kcal/mol of atoms
**Space group**: P4/nmm, No. 129

---

(2)
A plane-wave DFT calculation with PBEsol was carried out for a geometry-optimized TaMo structure.

a b c (Å): 3.0583 3.0583 8.3204
angles (deg): 90.00 90.00 120.00
Element x y z (fractional)
1 Ta 0.0000 0.0000 0.0000
2 Ta 0.0000 0.0000 0.5000
3 Mo 0.3333 0.6667 0.2500
4 Mo 0.6667 0.3333 0.7500

Calculated values
**Calculated density**: 13.64 g/cm3
**M_tot**: 0.0 μB per cell
**Calculated formation energy**: 6.7 kcal/mol of atoms
**Space group**: P6_3/mmc, No. 194